# 1
Rb2Zn4Hg | PBE-GGA | relaxed

Results
space-group type = I4/mmm (139)
Fermi-level density of states = 0.70 states/eV per atom
E_tot = -0.030 Ha/atom
energy of formation from the pure elements = 0.24 eV per atom
calculated volume = 36.80 Å³ per atom
magnetic moment = 0.00 Bohr magnetons per cell

Unit cell a=5.3426 b=5.3426 c=18.0475 alpha=90.00 beta=90.00 gamma=90.00
Fractional coordinates of all 14 atoms:
Rb 0.0000 0.0000 0.1463
Rb 0.0000 0.0000 0.8537
Rb 0.5000 0.5000 0.3537
Rb 0.5000 0.5000 0.6463
Zn 0.0000 0.0000 0.3506
Zn 0.0000 0.0000 0.6494
Zn 0.0000 0.5000 0.0000
Zn 0.0000 0.5000 0.5000
Zn 0.5000 0.0000 0.0000
Zn 0.5000 0.0000 0.5000
Zn 0.5000 0.5000 0.1494
Zn 0.5000 0.5000 0.8506
Hg 0.0000 0.0000 0.5000
Hg 0.5000 0.5000 0.0000

***

# 2
Rb2ZnHg4 | PBE-GGA | relaxed

Results
space-group type = I4/mmm (139)
Fermi-level density of states = 0.82 states/eV per atom
E_tot = -0.027 Ha/atom
energy of formation from the pure elements = -0.11 eV per atom
calculated volume = 38.77 Å³ per atom
magnetic moment = 0.00 Bohr magnetons per cell

Unit cell a=5.4659 b=5.4659 c=18.1661 alpha=90.00 beta=90.00 gamma=90.00
Fractional coordinates of all 14 atoms:
Rb 0.0000 0.0000 0.1428
Rb 0.0000 0.0000 0.8572
Rb 0.5000 0.5000 0.3572
Rb 0.5000 0.5000 0.6428
Zn 0.0000 0.0000 0.5000
Zn 0.5000 0.5000 0.0000
Hg 0.0000 0.0000 0.3477
Hg 0.0000 0.0000 0.6523
Hg 0.0000 0.5000 0.0000
Hg 0.0000 0.5000 0.5000
Hg 0.5000 0.0000 0.0000
Hg 0.5000 0.0000 0.5000
Hg 0.5000 0.5000 0.1523
Hg 0.5000 0.5000 0.8477

***

# 3
Rb12Zn3Hg5 | PBE-GGA | relaxed

Results
space-group type = Ia-3d (230)
Fermi-level density of states = 1.30 states/eV per atom
E_tot = -0.028 Ha/atom
energy of formation from the pure elements = 0.08 eV per atom
calculated volume = 63.65 Å³ per atom
magnetic moment = 0.01 Bohr magnetons per cell

Unit cell a=18.7719 b=18.7719 c=18.7719 alpha=109.47 beta=109.47 gamma=109.47
Fractional coordinates of all 80 atoms:
Rb 0.0535 0.2257 0.1273
Rb 0.0535 0.3277 0.9262
Rb 0.0738 0.6273 0.4016
Rb 0.0738 0.9465 0.6723
Rb 0.0984 0.7257 0.6723
Rb 0.0984 0.8727 0.4262
Rb 0.1273 0.0535 0.2257
Rb 0.1273 0.5738 0.9016
Rb 0.1723 0.2257 0.5984
Rb 0.1723 0.4465 0.5738
Rb 0.2257 0.1273 0.0535
Rb 0.2257 0.5984 0.1723
Rb 0.2743 0.3277 0.9016
Rb 0.2743 0.4465 0.3727
Rb 0.3277 0.9016 0.2743
Rb 0.3277 0.9262 0.0535
Rb 0.3727 0.2743 0.4465
Rb 0.3727 0.5984 0.9262
Rb 0.4016 0.0738 0.6273
Rb 0.4016 0.8277 0.7743
Rb 0.4262 0.0984 0.8727
Rb 0.4262 0.8277 0.5535
Rb 0.4465 0.3727 0.2743
Rb 0.4465 0.5738 0.1723
Rb 0.5535 0.4262 0.8277
Rb 0.5535 0.6273 0.7257
Rb 0.5738 0.1723 0.4465
Rb 0.5738 0.9016 0.1273
Rb 0.5984 0.1723 0.2257
Rb 0.5984 0.9262 0.3727
Rb 0.6273 0.4016 0.0738
Rb 0.6273 0.7257 0.5535
Rb 0.6723 0.0738 0.9465
Rb 0.6723 0.0984 0.7257
Rb 0.7257 0.5535 0.6273
Rb 0.7257 0.6723 0.0984
Rb 0.7743 0.4016 0.8277
Rb 0.7743 0.8727 0.9465
Rb 0.8277 0.5535 0.4262
Rb 0.8277 0.7743 0.4016
Rb 0.8727 0.4262 0.0984
Rb 0.8727 0.9465 0.7743
Rb 0.9016 0.1273 0.5738
Rb 0.9016 0.2743 0.3277
Rb 0.9262 0.0535 0.3277
Rb 0.9262 0.3727 0.5984
Rb 0.9465 0.6723 0.0738
Rb 0.9465 0.7743 0.8727
Zn 0.1250 0.2500 0.3750
Zn 0.1250 0.3750 0.7500
Zn 0.2500 0.3750 0.1250
Zn 0.2500 0.8750 0.6250
Zn 0.3750 0.1250 0.2500
Zn 0.3750 0.7500 0.1250
Zn 0.6250 0.2500 0.8750
Zn 0.6250 0.8750 0.7500
Zn 0.7500 0.1250 0.3750
Zn 0.7500 0.6250 0.8750
Zn 0.8750 0.6250 0.2500
Zn 0.8750 0.7500 0.6250
Hg 0.0000 0.0000 0.0000
Hg 0.0000 0.0000 0.5000
Hg 0.0000 0.5000 0.0000
Hg 0.0000 0.5000 0.5000
Hg 0.1250 0.7500 0.8750
Hg 0.1250 0.8750 0.2500
Hg 0.2500 0.1250 0.8750
Hg 0.2500 0.6250 0.3750
Hg 0.3750 0.2500 0.6250
Hg 0.3750 0.6250 0.7500
Hg 0.5000 0.0000 0.0000
Hg 0.5000 0.0000 0.5000
Hg 0.5000 0.5000 0.0000
Hg 0.5000 0.5000 0.5000
Hg 0.6250 0.3750 0.2500
Hg 0.6250 0.7500 0.3750
Hg 0.7500 0.3750 0.6250
Hg 0.7500 0.8750 0.1250
Hg 0.8750 0.1250 0.7500
Hg 0.8750 0.2500 0.1250

***

# 4
Rb2ZrHg | PBE-GGA | relaxed

Results
space-group type = I-42d (122)
Fermi-level density of states = 1.38 states/eV per atom
E_tot = -0.071 Ha/atom
energy of formation from the pure elements = 0.76 eV per atom
calculated volume = 55.84 Å³ per atom
magnetic moment = 9.74 Bohr magnetons per cell

Unit cell a=12.5598 b=12.5598 c=5.6632 alpha=90.00 beta=90.00 gamma=90.00
Fractional coordinates of all 16 atoms:
Rb 0.1193 0.2500 0.1250
Rb 0.2500 0.6193 0.3750
Rb 0.2500 0.8807 0.8750
Rb 0.3807 0.2500 0.6250
Rb 0.6193 0.7500 0.6250
Rb 0.7500 0.1193 0.8750
Rb 0.7500 0.3807 0.3750
Rb 0.8807 0.7500 0.1250
Zr 0.0000 0.0000 0.5000
Zr 0.0000 0.5000 0.7500
Zr 0.5000 0.0000 0.2500
Zr 0.5000 0.5000 0.0000
Hg 0.0000 0.0000 0.0000
Hg 0.0000 0.5000 0.2500
Hg 0.5000 0.0000 0.7500
Hg 0.5000 0.5000 0.5000